This record from the Alexandria database describes PrCr2O6 after structural relaxation. The functional is GGA+U.

```
data_PrCr2O6
_symmetry_space_group_name_H-M 'P 1 c 1'
_symmetry_Int_Tables_number 7
_cell_length_a 5.346
_cell_length_b 5.396
_cell_length_c 9.235
_cell_angle_alpha 90.00
_cell_angle_beta 125.26
_cell_angle_gamma 90.00
loop_
_symmetry_equiv_pos_as_xyz
'x,y,z'
'x,-y,z+1/2'
loop_
_atom_site_label
_atom_site_type_symbol
_atom_site_fract_x
_atom_site_fract_y
_atom_site_fract_z
Pr1 Pr 0.000 0.210 0.000
Cr1 Cr 0.237 0.265 0.746
Cr2 Cr 0.741 0.260 0.252
O1 O 0.008 0.470 0.217
O2 O 0.069 0.245 0.494
O3 O 0.468 0.261 0.008
O4 O 0.527 0.026 0.279
O5 O 0.577 0.471 0.784
O6 O 0.967 0.025 0.720
```

Results
The calculation puts the volume at 217.5 Å³ per cell. The calculation puts the calculated total energy at -7.336 eV/atom.